Entry 1:
Density functional theory data (GGA-PBE) for Sm9Y2Ho after structural relaxation.

Summary:
Raw total energy = -59.764 eV per formula unit
Excess energy over the best structure of this formula in the dataset = 0.00 eV per formula unit

abc: 5.1040 5.1040 15.3170
angles: 90.00 90.00 90.00
Last column: nearest neighbours and their distance in Å.
Fractional coordinates of all 12 atoms:
Sm  0.5000  0.5000  0.6670  4 Y 3.61, 8 Sm 3.61
Sm  0.5000  0.5000  0.3330  4 Y 3.61, 8 Sm 3.61
Sm  0.0000  0.5000  0.5000  8 Sm 3.61, 4 Y 3.61
Y  0.0000  0.0000  0.3330  12 Sm 3.61
Sm  0.5000  0.5000  0.0000  8 Sm 3.60, 4 Ho 3.61
Ho  0.0000  0.0000  0.0000  12 Sm 3.60-3.61
Sm  0.0000  0.5000  0.8341  8 Sm 3.60-3.61, 2 Ho 3.60, 2 Y 3.61
Sm  0.5000  0.0000  0.5000  8 Sm 3.61, 4 Y 3.61
Y  0.0000  0.0000  0.6670  12 Sm 3.61
Sm  0.5000  0.0000  0.8341  8 Sm 3.60-3.61, 2 Ho 3.60, 2 Y 3.61
Sm  0.5000  0.0000  0.1659  2 Ho 3.60, 8 Sm 3.60-3.61, 2 Y 3.61
Sm  0.0000  0.5000  0.1659  8 Sm 3.60-3.61, 2 Ho 3.60, 2 Y 3.61

Entry 2:
Density functional theory data (GGA-PBE) for Sm2Y2Ho after structural relaxation.

Summary:
Raw total energy = -26.447 eV per formula unit
Excess energy over the best structure of this formula in the dataset = 0.22 eV per formula unit

abc: 9.2931 9.2931 3.8118
angles: 90.00 90.00 90.00
Last column: nearest neighbours and their distance in Å.
Fractional coordinates of all 10 atoms:
Ho  0.0000  0.0000  0.0000  4 Sm 3.64, 2 Ho 3.81, 8 Y 3.94
Ho  0.5000  0.5000  0.0000  4 Sm 3.64, 2 Ho 3.81, 8 Y 3.94
Y  0.3308  0.8308  0.5000  6 Sm 3.25-3.39
Sm  0.3698  0.1302  0.0000  6 Y 3.25-3.39, 1 Sm 3.42, 2 Ho 3.64
Y  0.8308  0.6692  0.5000  6 Sm 3.25-3.39
Y  0.1692  0.3308  0.5000  6 Sm 3.25-3.39
Sm  0.1302  0.6302  0.0000  6 Y 3.25-3.39, 1 Sm 3.42, 2 Ho 3.64
Sm  0.8698  0.3698  0.0000  6 Y 3.25-3.39, 1 Sm 3.42, 2 Ho 3.64
Y  0.6692  0.1692  0.5000  6 Sm 3.25-3.39
Sm  0.6302  0.8698  0.0000  6 Y 3.25-3.39, 1 Sm 3.42, 2 Ho 3.64

Entry 3:
Density functional theory data (GGA-PBE) for Sm19Y6Ho4 after structural relaxation.

Summary:
Raw total energy = -135.967 eV per formula unit

abc: 10.9036 10.9036 10.9035
angles: 109.47 109.47 109.47
Last column: nearest neighbours and their distance in Å.
Fractional coordinates of all 29 atoms:
Y  0.3732  0.5000  0.8732  1 Y 3.19, 4 Sm 3.21-3.45
Ho  0.6391  0.0000  0.0000  9 Sm 3.36-3.45
Sm  0.5391  0.1955  0.2184  1 Y 3.21, 1 Sm 3.36, 2 Ho 3.36-3.45
Sm  0.7426  0.7426  0.0000  5 Sm 3.24-3.62, 2 Ho 3.36, 2 Y 3.45
Sm  0.7816  0.9772  0.3207  1 Y 3.21, 1 Sm 3.36, 2 Ho 3.36-3.45
Y  0.1268  0.6268  0.5000  1 Y 3.19, 4 Sm 3.21-3.45
Sm  0.4609  0.6793  0.6565  1 Y 3.21, 1 Sm 3.36, 2 Ho 3.36-3.45
Sm  0.0228  0.8045  0.3435  1 Y 3.21, 1 Sm 3.36, 2 Ho 3.36-3.45
Sm  0.0000  0.0000  0.0000  6 Sm 3.24
Sm  0.6793  0.6565  0.4609  1 Y 3.21, 1 Sm 3.36, 2 Ho 3.36-3.45
Sm  0.3435  0.0228  0.8045  1 Y 3.21, 1 Sm 3.36, 2 Ho 3.36-3.45
Sm  0.0000  0.7426  0.7426  5 Sm 3.24-3.62, 2 Ho 3.36, 2 Y 3.45
Sm  0.6565  0.4609  0.6793  1 Y 3.21, 1 Sm 3.36, 2 Ho 3.36-3.45
Ho  0.3609  0.3609  0.3609  9 Sm 3.36-3.45
Sm  0.2184  0.5391  0.1955  1 Y 3.21, 1 Sm 3.36, 2 Ho 3.36-3.45
Sm  0.2574  0.2574  0.0000  5 Sm 3.24-3.62, 2 Ho 3.36, 2 Y 3.45
Sm  0.3207  0.7816  0.9772  1 Y 3.21, 1 Sm 3.36, 2 Ho 3.36-3.45
Ho  0.0000  0.6391  0.0000  9 Sm 3.36-3.45
Y  0.8732  0.3732  0.5000  1 Y 3.19, 4 Sm 3.21-3.45
Sm  0.9772  0.3207  0.7816  1 Y 3.21, 1 Sm 3.36, 2 Ho 3.36-3.45
Y  0.5000  0.1268  0.6268  1 Y 3.19, 4 Sm 3.21-3.45
Sm  0.8045  0.3435  0.0228  1 Y 3.21, 1 Sm 3.36, 2 Ho 3.36-3.45
Y  0.5000  0.8732  0.3732  1 Y 3.19, 4 Sm 3.21-3.45
Ho  0.0000  0.0000  0.6391  9 Sm 3.36-3.45
Sm  0.0000  0.2574  0.2574  5 Sm 3.24-3.62, 2 Ho 3.36, 2 Y 3.45
Sm  0.7426  0.0000  0.7426  5 Sm 3.24-3.62, 2 Ho 3.36, 2 Y 3.45
Sm  0.1955  0.2184  0.5391  1 Y 3.21, 1 Sm 3.36, 2 Ho 3.36-3.45
Y  0.6268  0.5000  0.1268  1 Y 3.19, 4 Sm 3.21-3.45
Sm  0.2574  0.0000  0.2574  5 Sm 3.24-3.62, 2 Ho 3.36, 2 Y 3.45

Entry 4:
Density functional theory data (GGA-PBE) for Sm6Y2Ho after structural relaxation.

Summary:
Raw total energy = -44.405 eV per formula unit
Excess energy over the best structure of this formula in the dataset = 0.87 eV per formula unit

abc: 5.6611 8.9354 8.9354
angles: 46.21 71.55 71.55
Last column: nearest neighbours and their distance in Å.
Fractional coordinates of all 9 atoms:
Y  0.8616  0.6383  0.6383  8 Sm 3.43-3.69
Sm  0.2125  0.7875  0.7875  1 Ho 3.28, 6 Sm 3.32-3.62, 2 Y 3.65
Sm  0.6112  0.6588  0.1191  4 Sm 3.23-3.61, 2 Y 3.43
Ho  0.0000  0.0000  0.0000  2 Sm 3.28
Sm  0.3888  0.3412  0.8809  4 Sm 3.23-3.61, 2 Y 3.43
Y  0.1384  0.3617  0.3617  8 Sm 3.43-3.69
Sm  0.3888  0.8809  0.3412  4 Sm 3.23-3.61, 2 Y 3.43
Sm  0.6112  0.1191  0.6588  4 Sm 3.23-3.61, 2 Y 3.43
Sm  0.7875  0.2125  0.2125  1 Ho 3.28, 6 Sm 3.32-3.62, 2 Y 3.65

no.,spin magnetization (μB/f.u.)
1,0.000
2,0.000
3,0.004
4,0.000